# 1
Below is a relaxed structure of NaMgPF2, with properties calculated at the PBE-GGA level.

Cell lengths 3.9233, 5.8210, 3.9233 Å; angles 90.00, 90.00, 90.00 degrees
Atoms (fractional coordinates):
P: 0.0000 0.5000 0.0000
Mg: 0.0000 0.0000 0.0000
F: 0.0000 0.0000 0.5000
F: 0.5000 0.0000 0.0000
Na: 0.5000 0.5000 0.5000

Its total energy is -20.266 eV for the cell shown. For the density of states at the Fermi level, the calculation gives 0.507 states/eV/atom. The total moment is 1.3 μB per cell. As for the raw formation energy: -1.64 eV/atom.

=====

# 2
Below is a relaxed structure of Rb4Pr3AlTe8, with properties calculated at the PBE-GGA level.

Cell lengths 9.1847, 10.0752, 9.1853 Å; angles 117.13, 120.00, 90.00 degrees
Atoms (fractional coordinates):
Rb: 0.5000 0.0000 0.0000
Rb: 0.5000 0.0000 0.5000
Rb: 0.0000 0.0000 0.0000
Rb: 0.0000 0.0000 0.5000
Pr: 0.5000 0.5000 0.0000
Pr: 0.5000 0.5000 0.5000
Pr: 0.0000 0.5000 0.5000
Al: 0.0000 0.5000 0.0000
Te: 0.2178 0.6941 0.9764
Te: 0.2179 0.6942 0.4359
Te: 0.2635 0.2907 0.5271
Te: 0.7586 0.6941 0.9764
Te: 0.2414 0.3059 0.0236
Te: 0.7365 0.7093 0.4729
Te: 0.7821 0.3058 0.5641
Te: 0.7822 0.3059 0.0236

Its total energy is -65.865 eV for the cell shown. For the density of states at the Fermi level, the calculation gives 0.061 states/eV/atom. The total moment is 0.0 μB per cell. As for the raw formation energy: -1.17 eV/atom.

=====

What did the first record say?
Below is a relaxed structure of NaMgPF2, with properties calculated at the PBE-GGA level.

Cell lengths 3.9233, 5.8210, 3.9233 Å; angles 90.00, 90.00, 90.00 degrees
Atoms (fractional coordinates):
P: 0.0000 0.5000 0.0000
Mg: 0.0000 0.0000 0.0000
F: 0.0000 0.0000 0.5000
F: 0.5000 0.0000 0.0000
Na: 0.5000 0.5000 0.5000

Its total energy is -20.266 eV for the cell shown. For the density of states at the Fermi level, the calculation gives 0.507 states/eV/atom. The total moment is 1.3 μB per cell. As for the raw formation energy: -1.64 eV/atom.

=====

- The lowest total moment belongs to which entry?
  Rb4Pr3AlTe8

=====

- Which value of total moment does entry 2 give?
  0.0 μB per cell